1.
A relaxed Ni15Ge crystal. Source: OQMD via LeMat-Bulk, functional PBE.

Calculated values
ΔE to the lowest computed polymorph in meV per atom: 36.7

Unit cell a=4.296 b=33.637 c=4.296 alpha=90.00 beta=109.80 gamma=90.00
Space group P2/c (No. 13)
Asymmetric unit:
Ni 0.000 0.019 0.250 (multiplicity 2)
Ni 0.000 0.055 0.750 (multiplicity 2)
Ni 0.000 0.093 0.250 (multiplicity 2)
Ni 0.000 0.129 0.750 (multiplicity 2)
Ni 0.000 0.167 0.250 (multiplicity 2)
Ni 0.000 0.203 0.750 (multiplicity 2)
Ni 0.000 0.242 0.250 (multiplicity 2)
Ni 0.500 0.019 0.750 (multiplicity 2)
Ni 0.500 0.056 0.250 (multiplicity 2)
Ni 0.500 0.093 0.750 (multiplicity 2)
Ni 0.500 0.130 0.250 (multiplicity 2)
Ni 0.500 0.167 0.750 (multiplicity 2)
Ni 0.500 0.203 0.250 (multiplicity 2)
Ni 0.500 0.242 0.750 (multiplicity 2)
Ni 0.500 0.276 0.250 (multiplicity 2)
Ge 0.000 0.277 0.750 (multiplicity 2)

---

2.
A relaxed Ni15Ge crystal. Source: OQMD via LeMat-Bulk, functional PBE.

Calculated values
ΔE to the lowest computed polymorph in meV per atom: 20.0

Unit cell a=4.948 b=2.518 c=41.260 alpha=90.00 beta=90.00 gamma=90.00
Space group P2_1/m (No. 11)
Asymmetric unit:
Ni 0.124 0.250 0.191 (multiplicity 2)
Ni 0.125 0.250 0.021 (multiplicity 2)
Ni 0.125 0.250 0.107 (multiplicity 2)
Ni 0.125 0.250 0.766 (multiplicity 2)
Ni 0.125 0.250 0.851 (multiplicity 2)
Ni 0.125 0.250 0.936 (multiplicity 2)
Ni 0.126 0.250 0.276 (multiplicity 2)
Ni 0.374 0.750 0.809 (multiplicity 2)
Ni 0.375 0.750 0.064 (multiplicity 2)
Ni 0.375 0.750 0.149 (multiplicity 2)
Ni 0.375 0.750 0.233 (multiplicity 2)
Ni 0.375 0.750 0.318 (multiplicity 2)
Ni 0.375 0.750 0.893 (multiplicity 2)
Ni 0.375 0.750 0.979 (multiplicity 2)
Ni 0.376 0.750 0.724 (multiplicity 2)
Ge 0.125 0.250 0.680 (multiplicity 2)

---

3.
A relaxed NiGe3 crystal. Source: OQMD via LeMat-Bulk, functional PBE.

Calculated values
Total DFT energy (no corrections) in eV/atom: -4.605

Unit cell a=4.043 b=4.043 c=7.906 alpha=90.00 beta=90.00 gamma=90.00
Space group I4/mmm (No. 139)
Asymmetric unit:
Ni 0.000 0.000 0.000 (multiplicity 2)
Ge 0.000 0.000 0.500 (multiplicity 2)
Ge 0.000 0.500 0.250 (multiplicity 4)

---

4.
A relaxed NpNiGe crystal. Source: OQMD via LeMat-Bulk, functional PBE.

Calculated values
Total DFT energy (no corrections) in eV/atom: -7.870

Unit cell a=6.053 b=6.053 c=6.053 alpha=90.00 beta=90.00 gamma=90.00
Space group F-43m (No. 216)
Asymmetric unit:
Np 0.000 0.000 0.000 (multiplicity 4)
Ni 0.250 0.250 0.750 (multiplicity 4)
Ge 0.000 0.000 0.500 (multiplicity 4)